(1)
The following is a PBE calculation of an optimized crystal structure of MnReAs, from Alexandria.

For the formation energy, the calculation gives 75 meV/atom. As for the space group: No. 216. The calculation puts the mass density at 11.75 g cm⁻³.

Cell lengths 3.983, 3.983, 3.983 Å; angles 60.00, 60.00, 60.00 degrees
Element x y z (fractional)
Re  0.000  0.000  0.000
As  0.500  0.500  0.500
Mn  0.750  0.750  0.750

---

(2)
The following is a PBE calculation of an optimized crystal structure of Ti2GeRh6, from Alexandria.

For the formation energy, the calculation gives -368 meV/atom. As for the space group: No. 71. The calculation puts the mass density at 8.86 g cm⁻³.

Cell lengths 4.113, 5.835, 7.100 Å; angles 114.26, 106.80, 90.00 degrees
Element x y z (fractional)
Rh  0.500  0.754  0.000
Rh  0.835  0.084  0.669
Rh  0.165  0.414  0.331
Rh  0.165  0.916  0.331
Rh  0.835  0.586  0.669
Rh  0.500  0.246  0.000
Ge  0.000  0.000  0.000
Ti  0.666  0.666  0.332
Ti  0.334  0.334  0.668

---

(3)
The following is a PBE calculation of an optimized crystal structure of TbPm2Ni9, from Alexandria.

For the formation energy, the calculation gives -353 meV/atom. As for the space group: No. 166. The calculation puts the mass density at 9.12 g cm⁻³.

Cell lengths 4.995, 4.995, 8.729 Å; angles 73.38, 73.38, 60.00 degrees
Element x y z (fractional)
Ni  0.333  0.333  0.001
Ni  0.500  0.500  0.500
Ni  0.580  0.580  0.759
Ni  0.667  0.667  0.999
Ni  0.081  0.580  0.759
Ni  0.919  0.420  0.241
Ni  0.420  0.420  0.241
Ni  0.580  0.081  0.759
Ni  0.420  0.919  0.241
Pm  0.862  0.862  0.415
Pm  0.138  0.138  0.585
Tb  0.000  0.000  0.000

---

(4)
The following is a PBE calculation of an optimized crystal structure of BeSnNO2, from Alexandria.

As for the space group: No. 123. The uncorrected formation energy is -0.3599 eV/atom. The calculation puts the mass density at 5.89 g cm⁻³.

Cell lengths 3.292, 3.292, 4.517 Å; angles 90.00, 90.00, 90.00 degrees
Element x y z (fractional)
O  0.000  0.500  0.000
O  0.500  0.000  0.000
Sn  0.500  0.500  0.500
N  0.000  0.000  0.500
Be  0.000  0.000  0.000

---

(5)
The following is a PBE calculation of an optimized crystal structure of Nd2CuSi4Pt3, from Alexandria.

As for the space group: No. 115. The uncorrected formation energy is -0.9971 eV/atom. The calculation puts the mass density at 9.78 g cm⁻³.

Cell lengths 4.239, 4.239, 9.916 Å; angles 90.00, 90.00, 90.00 degrees
Element x y z (fractional)
Pt  0.000  0.500  0.121
Pt  0.500  0.000  0.879
Pt  0.000  0.000  0.500
Si  0.500  0.000  0.631
Si  0.000  0.500  0.369
Si  0.500  0.500  0.000
Si  0.000  0.000  0.000
Cu  0.500  0.500  0.500
Nd  0.000  0.500  0.750
Nd  0.500  0.000  0.250